# 1
## Li3ErZn3 (PBE-GGA)

Data for crystalline Li3ErZn3 at its relaxed geometry.

The total magnetic moment comes out at 0.00 μB per formula unit. For the density of states at the Fermi level, the calculation gives 9.30 states/eV/cell. The calculation puts the calculated total energy at -1.745 eV per atom. The density comes out at 4.54 g cm⁻³.

The space group is Pm-3n (No. 223) and the conventional cell measures 6.5514, 6.5514 and 6.5514 Å, with angles of 90.00, 90.00 and 90.00 degrees. Symmetry generates all atoms from Li at (0.0000, 0.2500, 0.5000), Er at (0.0000, 0.0000, 0.0000) and Zn at (0.0000, 0.5000, 0.2500).

# 2
## InCo2Hg (PBE-GGA)

Data for crystalline InCo2Hg at its relaxed geometry.

The total magnetic moment comes out at 0.20 μB per formula unit. For the density of states at the Fermi level, the calculation gives 11.43 states/eV/cell. The calculation puts the calculated total energy at -3.968 eV per atom. The density comes out at 11.58 g cm⁻³.

The space group is Fm-3m (No. 225) and the conventional cell measures 6.2866, 6.2866 and 6.2866 Å, with angles of 90.00, 90.00 and 90.00 degrees. Symmetry generates all atoms from In at (0.0000, 0.0000, 0.0000), Co at (0.2500, 0.2500, 0.2500) and Hg at (0.0000, 0.0000, 0.5000).

# 3
## Pu2Ge2H (PBE-GGA)

Data for crystalline Pu2Ge2H at its relaxed geometry.

The total magnetic moment comes out at 0.14 μB per formula unit. For the density of states at the Fermi level, the calculation gives 32.65 states/eV/cell. The calculation puts the calculated total energy at -8.440 eV per atom. The density comes out at 12.35 g cm⁻³.

The space group is Cmc2_1 (No. 36) and the conventional cell measures 3.5767, 18.7345 and 5.0908 Å, with angles of 90.00, 90.00 and 90.00 degrees. Symmetry generates all atoms from Pu at (0.0000, 0.1223, 0.0000), Pu at (0.0000, 0.3652, 0.8470), Ge at (0.0000, 0.2634, 0.2991), Ge at (0.0000, 0.4859, 0.2001) and H at (0.0000, 0.1315, 0.5829).

# 4
## TaNb2Rh (PBE-GGA)

Data for crystalline TaNb2Rh at its relaxed geometry.

The total magnetic moment comes out at 0.00 μB per formula unit. For the density of states at the Fermi level, the calculation gives 10.99 states/eV/cell. The calculation puts the calculated total energy at -9.515 eV per atom. The density comes out at 10.62 g cm⁻³.

The space group is I-42d (No. 122) and the conventional cell measures 3.7690, 3.7690 and 20.6712 Å, with angles of 90.00, 90.00 and 90.00 degrees. Symmetry generates all atoms from Ta at (0.0000, 0.0000, 0.0000), Nb at (0.2459, 0.2500, 0.1250) and Rh at (0.0000, 0.0000, 0.5000).

# 5
## Ca2EuP (PBE-GGA)

Data for crystalline Ca2EuP at its relaxed geometry.

The total magnetic moment comes out at 8.13 μB per formula unit. For the density of states at the Fermi level, the calculation gives 31.87 states/eV/cell. The calculation puts the calculated total energy at -5.451 eV per atom. The density comes out at 2.73 g cm⁻³.

The space group is R-3m (No. 166, hexagonal axes) and the conventional cell measures 4.1288, 4.1288 and 32.4688 Å, with angles of 90.00, 90.00 and 120.00 degrees. Symmetry generates all atoms from Ca at (0.0000, 0.0000, 0.1212), Eu at (0.0000, 0.0000, 0.0000) and P at (0.0000, 0.0000, 0.5000).

# 6
## CsNiIrS3 (PBE-GGA)

Data for crystalline CsNiIrS3 at its relaxed geometry.

The total magnetic moment comes out at 0.00 μB per formula unit. For the density of states at the Fermi level, the calculation gives 10.67 states/eV/cell. The calculation puts the calculated total energy at -5.182 eV per atom. The density comes out at 5.98 g cm⁻³.

The space group is C2/m (No. 12) and the conventional cell measures 17.3965, 3.7319 and 8.3600 Å, with angles of 90.00, 100.86 and 90.00 degrees. Symmetry generates all atoms from Cs at (0.1411, 0.0000, 0.4525), Ni at (0.0135, 0.5000, 0.8584), Ir at (0.1565, 0.0000, 0.9624), S at (0.0420, 0.0000, 0.7505), S at (0.1077, 0.5000, 0.0962) and S at (0.2198, 0.5000, 0.8474).